Computed, not measured: a relaxed structure of BiMo4Os2 at the PBE level of DFT.

Cell and atoms, written as POSCAR:
```
BiMo4Os2
1.0
-2.4969 2.4969 6.3416
2.4969 -2.4969 6.3416
2.4969 2.4969 -6.3416
Bi Mo Os
1 4 2
direct
0.0000 0.0000 0.0000
0.0000 0.5000 0.5000
0.2169 0.2169 0.0000
0.5000 0.0000 0.5000
0.7831 0.7831 0.0000
0.3973 0.3973 0.0000
0.6027 0.6027 0.0000
```

Density in g cm⁻³: 10.219
Magnetic moment in μB per formula unit: 2.1
Calculated total energy in eV per cell: -54.931